(1)
Pr2FeH6Pd, optimized geometry, DFT PBE; ρ = 7.3 g/cm3; crystal system = orthorhombic; DFT total energy = -47.873 eV for the cell shown
1.0
-1.2453 -2.0216 4.7061
5.1246 -0.4691 1.1414
-1.9526 4.6509 -1.4638
H Pr Fe Pd
6 2 1 1
Direct
0.2254 0.2259 0.4508
0.7743 0.7748 0.5487
0.7752 0.7757 0.9998
0.7758 0.2244 0.9997
0.2238 0.7764 0.9997
0.2245 0.2250 0.9997
0.2500 0.7504 0.4998
0.7499 0.2505 0.4998
0.9999 0.0004 0.9998
0.5001 0.5006 0.0002

(2)
MgGe2Rh3, optimized geometry, DFT PBE; ρ = 8.9 g/cm3; E_form = -0.5050 eV/atom; crystal system = tetragonal; DFT total energy = -35.913 eV for the cell shown
1.0
-1.5090 1.4331 2.1775
1.2205 -1.8348 2.0533
7.5119 6.2322 1.1040
Ge Mg Rh
2 1 3
Direct
0.5000 0.5000 0.1680
0.5000 0.5000 0.8320
0.5000 0.5000 0.5000
0.0000 0.0000 0.0000
0.0000 0.0000 0.3082
0.0000 0.0000 0.6918

(3)
TbTmPd, optimized geometry, DFT PBE; energy above the most stable polymorph in this dataset = 2.3 meV per atom; ρ = 9.0 g/cm3; E_form = -0.5639 eV/atom; crystal system = monoclinic; DFT total energy = -63.945 eV for the cell shown
1.0
-4.0993 1.3598 -5.8211
-5.0556 -2.4715 2.9829
-1.0744 6.4896 2.2726
Pd Tm Tb
4 4 4
Direct
0.9473 0.7065 0.7915
0.5527 0.7065 0.2915
0.0527 0.2935 0.2085
0.4473 0.2935 0.7085
0.3899 0.0998 0.2725
0.6101 0.9002 0.7275
0.1101 0.0998 0.7725
0.8899 0.9002 0.2275
0.7400 0.4151 0.9972
0.2600 0.5849 0.0028
0.7600 0.4151 0.4972
0.2400 0.5849 0.5028

(4)
SmCu4Ni2, optimized geometry, DFT PBE; ρ = 8.8 g/cm3; E_form = -0.1501 eV/atom; crystal system = monoclinic; DFT total energy = -33.717 eV for the cell shown
1.0
4.3117 -0.0031 2.3009
2.0001 4.4663 1.4311
0.0452 -0.3261 5.0880
Sm Ni Cu
1 2 4
Direct
0.0000 0.0000 0.0000
0.2500 0.5001 0.5001
0.7500 0.4999 0.4999
0.6936 0.9999 0.6127
0.3064 0.0001 0.3873
0.6936 0.6127 0.9999
0.3064 0.3873 0.0001

(5)
Ba5N2, optimized geometry, DFT PBE; E_form (uncorrected) = -0.28 eV/atom; ρ = 3.5 g/cm3; crystal system = monoclinic; DFT total energy = -56.508 eV for the cell shown
1.0
9.1799 0.0000 0.0000
0.0000 7.4784 0.8386
-4.5900 -0.1208 9.8633
N Ba
4 10
Direct
0.6869 0.5739 0.2011
0.5142 0.0739 0.2011
0.3131 0.4261 0.7989
0.4858 0.9261 0.7989
0.7505 0.9720 0.7960
0.0455 0.4720 0.7960
0.9545 0.5280 0.2040
0.4393 0.7500 0.0000
0.3952 0.6501 0.6475
0.5607 0.2500 0.0000
0.2522 0.1501 0.6475
0.7478 0.8499 0.3525
0.2495 0.0280 0.2040
0.6048 0.3499 0.3525

(6)
HfSc2BeN, optimized geometry, DFT PBE; E_form (uncorrected) = -0.74 eV/atom; ρ = 5.9 g/cm3; crystal system = tetragonal; DFT total energy = -38.347 eV for the cell shown
1.0
4.3317 0.0000 0.0000
0.0000 4.3317 0.0000
0.0000 0.0000 4.3722
Sc Be Hf N
2 1 1 1
Direct
0.0000 0.5000 0.0000
0.5000 0.0000 0.0000
0.5000 0.5000 0.5000
0.0000 0.0000 0.5000
0.0000 0.0000 0.0000

(7)
ThFe2I8, optimized geometry, DFT PBE; E_form (uncorrected) = -0.57 eV/atom; ρ = 3.7 g/cm3; crystal system = monoclinic; DFT total energy = -42.964 eV for the cell shown
1.0
-3.6075 2.0159 -7.1673
-8.7002 -2.3161 1.8493
-0.2504 8.0966 1.6828
I Fe Th
8 2 1
Direct
0.7139 0.1072 0.2861
0.6890 0.5936 0.3110
0.1945 0.7434 0.1482
0.8055 0.2566 0.8518
0.3110 0.4064 0.6890
0.1482 0.2566 0.1945
0.8518 0.7434 0.8055
0.2861 0.8928 0.7139
0.8248 0.3321 0.1752
0.1752 0.6679 0.8248
0.0000 0.0000 0.0000

(8)
Ac2NiHPt6, optimized geometry, DFT PBE; ρ = 15.2 g/cm3; crystal system = tetragonal; DFT total energy = -59.388 eV for the cell shown
1.0
-3.6503 5.1834 0.7149
-5.1681 -3.4331 -1.4866
-4.9916 -0.1391 3.9855
Pt H Ac Ni
6 1 2 1
Direct
0.2729 0.7271 0.0000
0.2727 0.2727 0.0002
0.7271 0.2729 0.0000
0.7273 0.7273 0.9998
0.2722 0.2722 0.4555
0.7278 0.7278 0.5445
0.5000 0.5000 0.0000
0.7500 0.2500 0.5000
0.2500 0.7500 0.5000
0.0000 0.0000 0.0000

(9)
MnAl2Ru3, optimized geometry, DFT PBE; ρ = 8.5 g/cm3; E_form = -0.4756 eV/atom; crystal system = orthorhombic; DFT total energy = -47.336 eV for the cell shown
1.0
3.0135 0.0000 0.0000
0.0000 4.0178 -1.3301
0.0000 -0.0173 6.6809
Ru Al Mn
3 2 1
Direct
0.5000 0.1651 0.3302
0.5000 0.5000 0.0000
0.5000 0.8349 0.6698
0.0000 0.3354 0.6708
0.0000 0.6646 0.3292
0.0000 0.0000 0.0000

(10)
LaNd5Sn3, optimized geometry, DFT PBE; ρ = 7.3 g/cm3; E_form = -0.5894 eV/atom; crystal system = hexagonal; DFT total energy = -92.159 eV for the cell shown
1.0
6.7966 0.0000 0.0000
0.0000 9.6783 0.0000
0.0000 -4.8391 8.3813
La Sn Nd
2 6 10
Direct
0.0000 0.0000 0.0000
0.5000 0.0000 0.0000
0.2500 0.6650 0.6650
0.7500 0.6650 0.0000
0.2500 0.0000 0.3350
0.7500 0.3350 0.3350
0.2500 0.3350 0.0000
0.7500 0.0000 0.6650
0.5000 0.3333 0.6667
0.7500 0.6671 0.6671
0.0000 0.3333 0.6667
0.7500 0.3329 0.0000
0.7500 0.0000 0.3329
0.0000 0.6667 0.3333
0.5000 0.6667 0.3333
0.2500 0.3329 0.3329
0.2500 0.6671 0.0000
0.2500 0.0000 0.6671

(11)
LiCaAcAs, optimized geometry, DFT PBE; ρ = 5.3 g/cm3; E_form = -0.4417 eV/atom; crystal system = cubic; DFT total energy = -14.440 eV for the cell shown
1.0
5.3801 0.0000 0.0000
2.6901 4.6593 0.0000
2.6901 1.5531 4.3929
Li As Ac Ca
1 1 1 1
Direct
0.2500 0.2500 0.2500
0.7500 0.7500 0.7500
0.5000 0.5000 0.5000
0.0000 0.0000 0.0000

(12)
CrCuPt, optimized geometry, DFT PBE; energy above the most stable polymorph in this dataset = 109.5 meV per atom; ρ = 12.9 g/cm3; E_form = 0.0870 eV/atom; crystal system = trigonal; DFT total energy = -19.499 eV for the cell shown
1.0
4.2188 0.0000 0.0000
-2.1094 3.6536 0.0000
0.0000 0.0000 2.5895
Cr Pt Cu
1 1 1
Direct
0.0000 0.0000 0.0232
0.3333 0.6667 0.5826
0.6667 0.3333 0.3942

Among the records above, which one has the highest DFT total energy? LiCaAcAs